(1)
A plane-wave DFT calculation with PBE-GGA was carried out for CdGeTeO6 after structural relaxation.

Values from the calculation:
The theoretical density is 6.313 g/cm³. The calculation puts the energy at -5.53 eV/atom.

a b c (Å): 5.0735 5.0735 4.8223
angles (deg): 90.00 90.00 120.00
Sites, in units of the cell vectors:
Cd: 0.0000 0.0000 0.0000
Ge: 0.6667 0.3333 0.5000
O: 0.3734 0.0047 0.2785
O: 0.9953 0.3687 0.2785
O: 0.6313 0.6266 0.2785
O: 0.6313 0.0047 0.7215
O: 0.3734 0.3687 0.7215
O: 0.9953 0.6266 0.7215
Te: 0.3333 0.6667 0.5000

---

(2)
A plane-wave DFT calculation with PBE-GGA was carried out for AlAgAsO after structural relaxation.

Values from the calculation:
The theoretical density is 6.041 g/cm³. The calculation puts the energy at -4.83 eV/atom.

a b c (Å): 3.6195 3.6195 9.4745
angles (deg): 90.00 90.00 90.00
Sites, in units of the cell vectors:
Ag: 0.0000 0.0000 0.5000
Ag: 0.5000 0.5000 0.5000
Al: 0.0000 0.5000 0.0832
Al: 0.5000 0.0000 0.9168
As: 0.5000 0.0000 0.2789
As: 0.0000 0.5000 0.7211
O: 0.0000 0.0000 0.0000
O: 0.5000 0.5000 0.0000

---

(3)
A plane-wave DFT calculation with PBE-GGA was carried out for ZrScS2Br2 after structural relaxation.

Values from the calculation:
The theoretical density is 3.674 g/cm³. As for the size of the total moment: 0.010 μB per atom. The calculation puts the energy at -6.06 eV/atom.

a b c (Å): 3.7180 5.1288 8.5345
angles (deg): 90.00 90.00 90.00
Sites, in units of the cell vectors:
Br: 0.0000 0.5000 0.3393
Br: 0.5000 0.0000 0.6664
S: 0.5000 0.0000 0.1059
S: 0.0000 0.5000 0.8930
Sc: 0.0000 0.0000 0.8912
Zr: 0.5000 0.5000 0.1043

---

(4)
A plane-wave DFT calculation with PBE-GGA was carried out for Pm3Ho2Bi3 after structural relaxation.

Values from the calculation:
The theoretical density is 9.557 g/cm³. As for the size of the total moment: 0.038 μB per atom. The calculation puts the energy at -5.19 eV/atom.

a b c (Å): 9.2882 9.2882 6.4732
angles (deg): 90.00 90.00 120.00
Each line ends with the local moment (μB).
Sites, in units of the cell vectors:
Bi: 0.3926 0.0000 0.2500  0.00
Bi: 0.0000 0.3926 0.2500  0.00
Bi: 0.6074 0.6074 0.2500  0.00
Bi: 0.6074 0.0000 0.7500  0.00
Bi: 0.3926 0.3926 0.7500  0.00
Bi: 0.0000 0.6074 0.7500  0.00
Ho: 0.6667 0.3333 0.0000  0.10
Ho: 0.3333 0.6667 0.0000  0.10
Ho: 0.6667 0.3333 0.5000  0.11
Ho: 0.3333 0.6667 0.5000  0.11
Pm: 0.7544 0.0000 0.2500  0.01
Pm: 0.2456 0.2456 0.2500  0.01
Pm: 0.0000 0.7544 0.2500  0.01
Pm: 0.2456 0.0000 0.7500  0.01
Pm: 0.0000 0.2456 0.7500  0.01
Pm: 0.7544 0.7544 0.7500  0.01

---

(5)
A plane-wave DFT calculation with PBE-GGA was carried out for DyEr2In3NiAg2 after structural relaxation.

Values from the calculation:
The theoretical density is 9.310 g/cm³. As for the size of the total moment: 0.000 μB per atom. The calculation puts the energy at -4.14 eV/atom.

a b c (Å): 3.8450 7.7356 7.7356
angles (deg): 120.11 90.00 90.00
Sites, in units of the cell vectors:
Ag: 0.5000 0.6672 0.3322
Ag: 0.5000 0.3322 0.6672
Dy: 0.0000 0.6003 0.6003
Er: 0.0000 0.3991 0.0000
Er: 0.0000 0.0000 0.3991
In: 0.5000 0.7522 0.0006
In: 0.5000 0.2478 0.2478
In: 0.5000 0.0006 0.7522
Ni: 0.0000 0.0007 0.0007

---

(6)
A plane-wave DFT calculation with PBE-GGA was carried out for NaInPd2 after structural relaxation.

Values from the calculation:
The theoretical density is 7.779 g/cm³. The calculation puts the energy at -3.94 eV/atom.

a b c (Å): 3.1789 3.1789 7.4070
angles (deg): 90.00 90.00 90.00
Sites, in units of the cell vectors:
In: 0.0000 0.0000 0.0000
Na: 0.0000 0.0000 0.5000
Pd: 0.5000 0.5000 0.2210
Pd: 0.5000 0.5000 0.7790

---

(7)
A plane-wave DFT calculation with PBE-GGA was carried out for Sm4CCl4F after structural relaxation.

Values from the calculation:
The theoretical density is 5.588 g/cm³. As for the size of the total moment: 0.006 μB per atom. The calculation puts the energy at -5.59 eV/atom.

a b c (Å): 8.8395 8.8395 7.4102
angles (deg): 102.69 102.69 24.07
Sites, in units of the cell vectors:
C: 0.5000 0.5000 0.5000
Cl: 0.8382 0.8382 0.1325
Cl: 0.1715 0.1715 0.3208
Cl: 0.8285 0.8285 0.6792
Cl: 0.1618 0.1618 0.8675
F: 0.5000 0.5000 0.0000
Sm: 0.0023 0.0023 0.2657
Sm: 0.3536 0.3536 0.4139
Sm: 0.6464 0.6464 0.5861
Sm: 0.9977 0.9977 0.7343

---

(8)
A plane-wave DFT calculation with PBE-GGA was carried out for BeTlAu2 after structural relaxation.

Values from the calculation:
The theoretical density is 13.845 g/cm³. The calculation puts the energy at -2.79 eV/atom.

a b c (Å): 4.6877 4.6877 4.6877
angles (deg): 60.00 60.00 60.00
Sites, in units of the cell vectors:
Au: 0.0000 0.0000 0.0000
Au: 0.7500 0.7500 0.7500
Be: 0.2500 0.2500 0.2500
Tl: 0.5000 0.5000 0.5000

---

(9)
A plane-wave DFT calculation with PBE-GGA was carried out for NaZrCuSe2S after structural relaxation.

Values from the calculation:
The theoretical density is 4.759 g/cm³. As for the size of the total moment: 0.001 μB per atom. The calculation puts the energy at -5.21 eV/atom.

a b c (Å): 6.9673 6.9673 10.1026
angles (deg): 90.62 90.62 31.55
Sites, in units of the cell vectors:
Cu: 0.5301 0.5301 0.2526
Cu: 0.4699 0.4699 0.7474
Na: 0.2379 0.2379 0.2699
Na: 0.7621 0.7621 0.7301
S: 0.6256 0.6256 0.4414
S: 0.3744 0.3744 0.5586
Se: 0.6372 0.6372 0.0625
Se: 0.9140 0.9140 0.2495
Se: 0.0860 0.0860 0.7505
Se: 0.3628 0.3628 0.9375
Zr: 0.0000 0.0000 0.0000
Zr: 0.0000 0.0000 0.5000

---

(10)
A plane-wave DFT calculation with PBE-GGA was carried out for Nb4Sn3W2C3 after structural relaxation.

Values from the calculation:
The theoretical density is 9.944 g/cm³. As for the size of the total moment: 0.000 μB per atom. The calculation puts the energy at -9.03 eV/atom.

a b c (Å): 5.6436 5.6436 14.0779
angles (deg): 101.47 101.47 59.98
Sites, in units of the cell vectors:
C: 0.6631 0.1739 0.0000
C: 0.0000 0.5000 0.0000
C: 0.3369 0.8261 0.0000
C: 0.1739 0.6631 0.5000
C: 0.5000 0.0000 0.5000
C: 0.8261 0.3369 0.5000
Nb: 0.0320 0.1903 0.0849
Nb: 0.6938 0.8660 0.0849
Nb: 0.1340 0.3062 0.4151
Nb: 0.8097 0.9680 0.4151
Nb: 0.1903 0.0320 0.5849
Nb: 0.8660 0.6938 0.5849
Nb: 0.3062 0.1340 0.9151
Nb: 0.9680 0.8097 0.9151
Sn: 0.7354 0.5844 0.2497
Sn: 0.0961 0.9039 0.2500
Sn: 0.4156 0.2646 0.2503
Sn: 0.5844 0.7354 0.7497
Sn: 0.9039 0.0961 0.7500
Sn: 0.2646 0.4156 0.7503
W: 0.3537 0.5251 0.0766
W: 0.4749 0.6463 0.4234
W: 0.5251 0.3537 0.5766
W: 0.6463 0.4749 0.9234

---

(11)
A plane-wave DFT calculation with PBE-GGA was carried out for GeBPd after structural relaxation.

Values from the calculation:
The theoretical density is 7.764 g/cm³. The calculation puts the energy at -5.15 eV/atom.

a b c (Å): 3.8582 3.8582 3.8582
angles (deg): 60.00 60.00 60.00
Sites, in units of the cell vectors:
B: 0.0000 0.0000 0.0000
Ge: 0.2500 0.2500 0.2500
Pd: 0.7500 0.7500 0.7500

---

(12)
A plane-wave DFT calculation with PBE-GGA was carried out for GaPAuO after structural relaxation.

Values from the calculation:
The theoretical density is 7.157 g/cm³. The calculation puts the energy at -3.95 eV/atom.

a b c (Å): 4.2463 4.2463 8.0717
angles (deg): 90.00 90.00 90.00
Sites, in units of the cell vectors:
Au: 0.0000 0.5000 0.0565
Au: 0.5000 0.0000 0.9434
Ga: 0.0000 0.0000 0.5000
Ga: 0.5000 0.5000 0.5000
O: 0.0000 0.0000 0.0000
O: 0.5000 0.5000 0.0000
P: 0.5000 0.0000 0.3406
P: 0.0000 0.5000 0.6594